# 1
First-principles (PBE) data for a relaxed Pr5TmPt4 crystal, as listed in Alexandria via LeMat-Bulk.

Cell: 9.3259 9.3259 8.1543 Å, 105.06 105.06 26.06°
Atoms (fractional coordinates):
Pr  0.0000  0.0000  0.0000
Pr  0.3328  0.3328  0.6479
Pr  0.3345  0.3345  0.1556
Pr  0.6655  0.6655  0.8444
Pr  0.6672  0.6672  0.3521
Tm  0.0000  0.0000  0.5000
Pt  0.1662  0.1662  0.6017
Pt  0.4988  0.4988  0.2555
Pt  0.5012  0.5012  0.7445
Pt  0.8338  0.8338  0.3983

## Properties
* energy relative to the elements: -855 meV/atom
* space-group type: C2/m, No. 12

---

# 2
First-principles (PBE) data for a relaxed InAg4 crystal, as listed in Alexandria via LeMat-Bulk.

Cell: 5.1770 5.1770 5.1770 Å, 90.00 90.00 90.00°
Atoms (fractional coordinates):
In  0.0000  0.0000  0.0000
Ag  0.0000  0.0000  0.5000
Ag  0.0000  0.5000  0.0000
Ag  0.5000  0.0000  0.0000
Ag  0.5000  0.5000  0.5000

## Properties
* energy relative to the elements: 711 meV/atom
* space-group type: Pm-3m, No. 221

---

# 3
First-principles (PBE) data for a relaxed Ca3Pa4O12 crystal, as listed in Alexandria via LeMat-Bulk.

Cell: 7.3887 7.3887 7.3887 Å, 109.47 109.47 109.47°
Atoms (fractional coordinates):
Ca  0.0000  0.5000  0.5000
Ca  0.5000  0.0000  0.5000
Ca  0.5000  0.5000  0.0000
Pa  0.0000  0.0000  0.5000
Pa  0.0000  0.5000  0.0000
Pa  0.5000  0.0000  0.0000
Pa  0.5000  0.5000  0.5000
O  0.1098  0.7986  0.3112
O  0.2014  0.3112  0.5126
O  0.2014  0.6888  0.8902
O  0.3112  0.1098  0.7986
O  0.3112  0.5126  0.2014
O  0.4874  0.7986  0.6888
O  0.5126  0.2014  0.3112
O  0.6888  0.4874  0.7986
O  0.6888  0.8902  0.2014
O  0.7986  0.3112  0.1098
O  0.7986  0.6888  0.4874
O  0.8902  0.2014  0.6888

## Properties
* uncorrected formation energy: -64.2 eV/f.u.
* space-group type: Im-3, No. 204

---

# 4
First-principles (PBE) data for a relaxed Tb3Ho2Sc crystal, as listed in Alexandria via LeMat-Bulk.

Cell: 7.8284 7.8284 4.9420 Å, 90.00 90.00 143.17°
Atoms (fractional coordinates):
Tb  0.0000  0.0000  0.0000
Tb  0.3349  0.6651  0.0000
Tb  0.6651  0.3349  0.0000
Ho  0.1643  0.8357  0.5000
Ho  0.8357  0.1643  0.5000
Sc  0.5000  0.5000  0.5000

## Properties
* energy relative to the elements: 32 meV/atom
* offset from the most stable computed form: 0.00 kcal/mol of atoms
* space-group type: Cmmm, No. 65

---

# 5
First-principles (PBE) data for a relaxed KNp4Se6 crystal, as listed in Alexandria via LeMat-Bulk.

Cell: 7.1835 7.1835 21.4297 Å, 90.00 90.00 146.30°
Atoms (fractional coordinates):
K  0.1627  0.8373  0.7500
K  0.8373  0.1627  0.2500
Np  0.0952  0.9048  0.1274
Np  0.0952  0.9048  0.3726
Np  0.3635  0.6365  0.0405
Np  0.3635  0.6365  0.4595
Np  0.6365  0.3635  0.5405
Np  0.6365  0.3635  0.9595
Np  0.9048  0.0952  0.6274
Np  0.9048  0.0952  0.8726
Se  0.0000  0.0000  0.0000
Se  0.0000  0.0000  0.5000
Se  0.1560  0.8440  0.2500
Se  0.2697  0.7303  0.5833
Se  0.2697  0.7303  0.9167
Se  0.4619  0.5381  0.1556
Se  0.4619  0.5381  0.3444
Se  0.5381  0.4619  0.6556
Se  0.5381  0.4619  0.8444
Se  0.7303  0.2697  0.0833
Se  0.7303  0.2697  0.4167
Se  0.8440  0.1560  0.7500

## Properties
* uncorrected formation energy: -12.7 eV/f.u.
* space-group type: Cmcm, No. 63

---

# 6
First-principles (PBE) data for a relaxed YTa2 crystal, as listed in Alexandria via LeMat-Bulk.

Cell: 8.7126 8.7126 2.8917 Å, 90.00 90.00 120.00°
Atoms (fractional coordinates):
Y  0.0000  0.0000  0.0000
Y  0.3333  0.6667  0.5000
Y  0.6667  0.3333  0.5000
Ta  0.0000  0.3261  0.5000
Ta  0.0000  0.6600  0.0000
Ta  0.3261  0.0000  0.5000
Ta  0.3399  0.3399  0.0000
Ta  0.6600  0.0000  0.0000
Ta  0.6739  0.6739  0.5000

## Properties
* energy relative to the elements: 508 meV/atom
* offset from the most stable computed form: 6.04 kcal/mol of atoms
* space-group type: P-62m, No. 189

---

# 7
First-principles (PBE) data for a relaxed Mn2AlFeH crystal, as listed in Alexandria via LeMat-Bulk.

Cell: 3.7354 3.7354 3.6332 Å, 90.00 90.00 90.00°
Atoms (fractional coordinates):
Mn  0.0000  0.5000  0.0000
Mn  0.5000  0.0000  0.0000
Al  0.0000  0.0000  0.5000
Fe  0.5000  0.5000  0.5000
H  0.5000  0.5000  0.0000

## Properties
* offset from the most stable computed form: 0.00 kcal/mol of atoms
* space-group type: P4/mmm, No. 123

---

# 8
First-principles (PBE) data for a relaxed La3PrPd2 crystal, as listed in Alexandria via LeMat-Bulk.

Cell: 7.5243 7.5243 8.0809 Å, 105.56 105.56 56.78°
Atoms (fractional coordinates):
La  0.2471  0.7529  0.7500
La  0.2854  0.2846  0.3925
La  0.2846  0.2854  0.8925
La  0.7154  0.7146  0.1075
La  0.7146  0.7154  0.6075
La  0.7529  0.2471  0.2500
Pr  0.2523  0.7477  0.2500
Pr  0.7477  0.2523  0.7500
Pd  0.1198  0.1208  0.5601
Pd  0.1208  0.1198  0.0601
Pd  0.8792  0.8802  0.9399
Pd  0.8802  0.8792  0.4399

## Properties
* energy relative to the elements: -508 meV/atom
* space-group type: C2/c, No. 15

---

| no. | VASP energy (eV/atom) |
| --- | --- |
| 1 | -6.108 |
| 2 | -2.118 |
| 3 | -8.826 |
| 4 | -4.864 |
| 5 | -7.857 |
| 6 | -9.549 |
| 7 | -6.932 |
| 8 | -5.499 |